Compound: LiTlInSn
Source: the Alexandria database
Functional: GGA-PBE
Structure: relaxed

Output
Mass density   7.43 g cm⁻³
Total magnetization   0.0 μB/cell
DFT formation energy   -0.10 eV/atom
ΔE to the lowest computed polymorph   0 meV/atom

POSCAR file:
```
LiTlInSn
1.0
3.236 0.000 0.000
0.000 3.236 0.000
0.000 0.000 9.493
Li Sn Tl In
1 1 1 1
Cartesian
0.000 0.000 5.368
1.618 1.618 7.362
0.000 0.000 0.776
1.618 1.618 3.436
```


Compound: Li5TlInSn2
Source: the Alexandria database
Functional: GGA-PBE
Structure: relaxed

Output
Mass density   4.82 g cm⁻³
Total magnetization   0.0 μB/cell
DFT formation energy   -0.16 eV/atom

POSCAR file:
```
Li5TlInSn2
1.0
-3.582 6.108 -3.204
-0.210 -3.705 -6.828
-4.093 -3.860 6.643
Tl Sn Li In
2 4 10 2
Cartesian
-3.100 -3.182 -2.601
-4.785 1.724 -0.788
-1.532 -0.948 -7.189
-0.522 -0.638 -2.966
-2.260 3.351 -2.843
-3.270 3.041 -7.066
-2.676 0.431 -1.895
-3.396 -4.551 0.830
-3.669 -2.053 3.906
-5.209 -1.889 -1.493
-4.216 0.595 -7.294
-5.482 0.609 1.582
-4.489 3.093 -4.219
-1.896 1.201 -5.016
0.000 0.000 0.000
-2.403 -2.067 -4.971
-4.891 -0.128 -4.202
-2.994 -1.329 0.814
```


Compound: LiInSnW2
Source: the Alexandria database
Functional: GGA-PBE
Structure: relaxed

Output
Mass density   9.20 g cm⁻³
Total magnetization   2.4 μB/cell
DFT formation energy   1.81 eV/atom

POSCAR file:
```
LiInSnW2
1.0
5.035 0.000 0.000
0.000 4.331 0.000
0.000 0.000 5.035
Li W In Sn
1 2 1 1
Cartesian
0.000 2.165 0.000
2.518 0.000 0.000
0.000 0.000 2.518
0.000 0.000 0.000
2.518 2.165 2.518
```


Compound: Sr3LiIn
Source: the Alexandria database
Functional: GGA-PBE
Structure: relaxed

Output
Mass density   3.31 g cm⁻³
Total magnetization   0.0 μB/cell
DFT formation energy   -0.20 eV/atom
ΔE to the lowest computed polymorph   0 meV/atom

POSCAR file:
```
Sr3LiIn
1.0
-1.757 -5.232 -1.906
0.438 -2.124 5.427
-11.615 0.263 1.040
Li In Sr
2 2 6
Cartesian
-8.397 -3.954 3.849
-3.920 -1.300 1.381
-9.546 -5.495 0.193
-4.527 -4.992 3.131
-2.868 -4.433 0.069
-1.792 -2.874 3.740
-5.625 -1.846 4.451
-11.205 -6.053 3.254
-10.525 -2.380 1.490
-6.692 -3.408 0.779
```


Compound: Sr3Li2In7
Source: the Alexandria database
Functional: GGA-PBE
Structure: relaxed

Output
Mass density   5.47 g cm⁻³
Total magnetization   0.0 μB/cell
DFT formation energy   -0.39 eV/atom

POSCAR file:
```
Sr3Li2In7
1.0
-4.790 -3.983 -0.287
-2.981 -1.674 5.216
-8.733 5.583 0.529
Sr In Li
3 7 2
Cartesian
0.000 0.000 0.000
-6.133 2.421 1.000
-10.372 -2.495 4.457
-6.826 -1.904 4.841
-11.195 0.979 3.270
-7.747 -3.079 2.041
-9.678 1.831 0.616
-8.252 -0.037 2.729
-5.310 -1.053 2.188
-8.758 3.005 3.416
-5.217 -3.727 3.279
-11.288 3.653 2.178
```


Compound: SrLi6In6
Source: the Alexandria database
Functional: GGA-PBE
Structure: relaxed

Output
Mass density   4.79 g cm⁻³
Total magnetization   0.0 μB/cell
DFT formation energy   -0.30 eV/atom

POSCAR file:
```
SrLi6In6
1.0
5.764 0.000 0.000
2.882 7.017 -0.097
2.882 0.071 7.017
In Li Sr
6 6 1
Cartesian
2.882 2.488 4.541
2.882 1.487 1.452
8.647 5.601 5.468
5.764 2.486 2.427
2.882 4.599 2.379
5.764 4.601 4.493
1.441 0.035 3.509
5.764 1.669 5.380
4.323 0.035 3.509
5.764 5.418 1.540
4.323 3.508 -0.049
1.441 3.508 -0.049
0.000 0.000 0.000
```


Compound: Sr2LiIn
Source: the Alexandria database
Functional: GGA-PBE
Structure: relaxed

Output
Mass density   3.15 g cm⁻³
Total magnetization   0.0 μB/cell
DFT formation energy   -0.05 eV/atom

POSCAR file:
```
Sr2LiIn
1.0
4.141 0.000 0.000
2.070 3.586 0.000
2.070 1.195 10.550
In Sr Li
1 2 1
Cartesian
4.141 2.391 0.008
2.070 1.195 2.497
2.070 1.195 8.061
4.141 2.391 5.259
```


Compound: Sr2LiIn
Source: the Alexandria database
Functional: GGA-PBE
Structure: relaxed

Output
Mass density   3.55 g cm⁻³
Total magnetization   0.0 μB/cell
DFT formation energy   -0.20 eV/atom

POSCAR file:
```
Sr2LiIn
1.0
-3.895 -1.710 5.486
-0.574 -6.691 1.757
4.277 5.376 -0.998
Li Sr In
1 2 1
Cartesian
0.527 -3.148 2.526
-0.061 -0.114 0.099
-0.791 -0.014 3.837
-2.101 -3.950 3.406
```